No. 1
# ScCuOs

A crystal of ScCuOs relaxed with PBEsol (meta-GGA SCAN, Alexandria via LeMat-Bulk). Values from VASP.

Summary:
E_form (eV per atom): 0.2877
Distance to the lowest polymorph of the same formula (eV/f.u.): 0.89
Final energy (eV per cell): -100.45

The structure in Quantum ESPRESSO input format:
```
&SYSTEM
  ibrav = 0, nat = 3, ntyp = 3
/
ATOMIC_SPECIES
Os 190.23 Os.upf
Sc 44.96 Sc.upf
Cu 63.55 Cu.upf
ATOMIC_POSITIONS angstrom
Os 0.000 0.000 0.000
Sc 4.136 2.388 1.689
Cu 2.068 1.194 0.844
CELL_PARAMETERS angstrom
4.136 0.000 0.000
2.068 3.582 0.000
2.068 1.194 3.377
```


No. 2
# CaZnTc

A crystal of CaZnTc relaxed with PBEsol (meta-GGA SCAN, Alexandria via LeMat-Bulk). Values from VASP.

Summary:
E_form (eV per atom): 0.2991
Distance to the lowest polymorph of the same formula (eV/f.u.): 0.00
Final energy (eV per cell): -57.34

The structure in Quantum ESPRESSO input format:
```
&SYSTEM
  ibrav = 0, nat = 3, ntyp = 3
/
ATOMIC_SPECIES
Ca 40.08 Ca.upf
Tc 98.00 Tc.upf
Zn 65.41 Zn.upf
ATOMIC_POSITIONS angstrom
Ca 0.003 0.019 0.009
Tc -1.694 2.635 -0.046
Zn 0.480 2.673 1.309
CELL_PARAMETERS angstrom
-0.382 1.328 -2.574
-3.657 0.311 0.704
2.828 3.688 3.141
```


No. 3
# La12Co6Pb

A crystal of La12Co6Pb relaxed with PBEsol (meta-GGA SCAN, Alexandria via LeMat-Bulk). Values from VASP.

Summary:
E_form (eV per atom): -0.1234
Final energy (eV per cell): -699.21

The structure in Quantum ESPRESSO input format:
```
&SYSTEM
  ibrav = 0, nat = 19, ntyp = 3
/
ATOMIC_SPECIES
Co 58.93 Co.upf
La 138.91 La.upf
Pb 207.20 Pb.upf
ATOMIC_POSITIONS angstrom
Co 0.728 5.572 2.623
Co 3.597 3.543 0.891
Co 5.011 1.000 3.514
Co -0.728 0.515 6.137
Co 2.142 -1.514 4.406
Co -2.142 3.058 3.514
La -2.147 5.328 2.199
La 0.000 3.809 4.830
La 2.870 6.336 1.315
La -2.870 2.029 6.144
La 0.000 -2.278 5.714
La 5.739 2.029 0.884
La 3.592 3.547 3.515
La 5.017 -1.270 4.830
La 0.722 3.299 1.315
La 2.147 0.760 5.714
La -0.722 0.511 3.514
La 2.869 0.249 2.199
Pb 0.000 0.000 0.000
CELL_PARAMETERS angstrom
8.608 0.000 0.000
-2.869 8.116 0.000
-2.869 -4.058 7.029
```


No. 4
# AgRuI3

A crystal of AgRuI3 relaxed with PBEsol (meta-GGA SCAN, Alexandria via LeMat-Bulk). Values from VASP.

Summary:
Final energy (eV per cell): -174.02
Formation energy from raw total energies (eV per atom): 0.4802

The structure in Quantum ESPRESSO input format:
```
&SYSTEM
  ibrav = 0, nat = 5, ntyp = 3
/
ATOMIC_SPECIES
Ru 101.07 Ru.upf
Ag 107.87 Ag.upf
I 126.90 I.upf
ATOMIC_POSITIONS angstrom
Ru 0.000 0.000 0.000
Ag 1.082 -2.801 3.474
I 2.418 -0.975 0.484
I -1.051 -2.398 0.417
I -0.284 0.572 2.573
CELL_PARAMETERS angstrom
-2.102 -4.796 0.835
4.835 -1.950 0.968
-0.568 1.145 5.146
```